# 1
This record from the Alexandria database describes KCaAuS2 after structural relaxation. The functional is PBE-GGA.

abc: 5.333 7.291 7.679
angles: 102.02 90.00 90.00
Fractional coordinates of all 10 atoms:
S  0.703  0.241  0.540
S  0.297  0.241  0.040
S  0.703  0.759  0.960
S  0.297  0.759  0.460
K  0.171  0.500  0.750
K  0.829  0.500  0.250
Ca  0.485  0.000  0.250
Ca  0.515  0.000  0.750
Au  0.000  0.000  0.000
Au  0.000  0.000  0.500

Results
E_tot: -41.7 eV for the cell shown
SG: P2/c
Total magnetic moment: 0.000 μB per atom



# 2
This record from the Alexandria database describes CsSmGeSe4 after structural relaxation. The functional is PBE-GGA.

abc: 6.843 7.135 9.909
angles: 90.00 108.40 90.00
Fractional coordinates of all 14 atoms:
Sm  0.772  0.750  0.451
Sm  0.228  0.250  0.549
Se  0.568  0.250  0.425
Se  0.581  0.250  0.819
Se  0.432  0.750  0.575
Se  0.419  0.750  0.181
Se  0.016  0.991  0.700
Se  0.016  0.509  0.700
Se  0.984  0.009  0.300
Se  0.984  0.491  0.300
Cs  0.746  0.750  0.940
Cs  0.254  0.250  0.060
Ge  0.782  0.250  0.665
Ge  0.218  0.750  0.335

Results
E_tot: -64.5 eV for the cell shown
SG: P2_1/m
Total magnetic moment: 0.000 μB per atom



# 3
This record from the Alexandria database describes LaHoHgAu after structural relaxation. The functional is PBE-GGA.

abc: 5.306 5.306 5.306
angles: 60.00 60.00 60.00
Fractional coordinates of all 4 atoms:
Au  0.000  0.000  0.000
Hg  0.500  0.500  0.500
Ho  0.750  0.750  0.750
La  0.250  0.250  0.250

Results
Energy of formation from the pure elements: -0.62 eV/atom
SG: F-43m
Total magnetic moment: 0.000 μB per atom



# 4
This record from the Alexandria database describes TlAs2OsSe after structural relaxation. The functional is PBE-GGA.

abc: 5.236 5.236 5.206
angles: 90.00 90.00 90.00
Fractional coordinates of all 5 atoms:
As  0.500  0.000  0.000
As  0.000  0.500  0.000
Se  0.000  0.000  0.500
Os  0.500  0.500  0.500
Tl  0.000  0.000  0.000

Results
E_tot: -15.9 eV for the cell shown
SG: P4/mmm
Total magnetic moment: 0.480 μB per atom



# 5
This record from the Alexandria database describes Pm4GaSeS2 after structural relaxation. The functional is PBE-GGA.

abc: 4.078 7.198 7.242
angles: 71.16 90.00 90.00
Fractional coordinates of all 8 atoms:
Pm  0.000  0.241  0.259
Pm  0.000  0.759  0.741
Pm  0.500  0.759  0.247
Pm  0.500  0.241  0.753
Ga  0.000  0.500  0.500
S  0.500  0.000  0.500
S  0.000  0.000  0.000
Se  0.500  0.500  0.000

Results
E_tot: -46.8 eV for the cell shown
SG: P2/m
Total magnetic moment: 0.000 μB per atom



# 6
This record from the Alexandria database describes RbBiTeW2 after structural relaxation. The functional is PBE-GGA.

abc: 5.087 6.084 5.087
angles: 90.00 90.00 90.00
Fractional coordinates of all 5 atoms:
W  0.500  0.000  0.000
W  0.000  0.000  0.500
Te  0.000  0.000  0.000
Rb  0.000  0.500  0.000
Bi  0.500  0.500  0.500

Results
E_tot: -24.4 eV for the cell shown
SG: P4/mmm
Total magnetic moment: 0.592 μB per atom